{
  "formula": "KCrHg2",
  "functional": "GGA-PBEsol",
  "state": "optimized geometry",
  "total_energy_ev_per_fu": -11.38,
  "space_group": "P4/mmm (123)",
  "e_form_ev_per_atom": 0.282,
  "lattice_angstrom": [[3.441, 0.000, 0.000], [0.000, 3.441, 0.000], [0.000, 0.000, 8.116]],
  "species": ["K", "Cr", "Hg", "Hg"],
  "fractional_positions": [[0.000, 0.000, 0.000], [0.000, 0.000, 0.500], [0.500, 0.500, 0.310], [0.500, 0.500, 0.690]]
}